(1)
TbBe2AlPt4: relaxed, PBE.

The calculation puts the formation energy at -0.847 eV per atom.

It has space group R-3m (No. 166, hexagonal axes), with a = 4.0982 Å, b = 4.0982 Å, c = 25.8935 Å, α = 90.00°, β = 90.00° and γ = 120.00°. The inequivalent atoms are Tb at (0.0000, 0.0000, 0.0000), Be at (0.0000, 0.0000, 0.2440), Al at (0.0000, 0.0000, 0.5000), Pt at (0.0000, 0.0000, 0.1309) and Pt at (0.0000, 0.0000, 0.4035).

---

(2)
Tb2BeAlPt6: relaxed, PBE.

The calculation puts the formation energy at -0.949 eV per atom.

It has space group R-3m (No. 166, hexagonal axes), with a = 5.6676 Å, b = 5.6676 Å, c = 19.7818 Å, α = 90.00°, β = 90.00° and γ = 120.00°. The inequivalent atoms are Tb at (0.0000, 0.0000, 0.2101), Be at (0.0000, 0.0000, 0.0000), Al at (0.0000, 0.0000, 0.5000) and Pt at (0.0081, 0.5040, 0.2624).

---

(3)
Tb2Be3AlPt4: relaxed, PBE.

The calculation puts the formation energy at -0.971 eV per atom.

It has space group P-4m2 (No. 115), with a = 4.0488 Å, b = 4.0488 Å, c = 9.8946 Å, α = 90.00°, β = 90.00° and γ = 90.00°. The inequivalent atoms are Tb at (0.0000, 0.5000, 0.2406), Be at (0.0000, 0.5000, 0.8813), Be at (0.5000, 0.5000, 0.5000), Al at (0.0000, 0.0000, 0.5000), Pt at (0.0000, 0.0000, 0.0000), Pt at (0.0000, 0.5000, 0.6438) and Pt at (0.5000, 0.5000, 0.0000).

---

(4)
Tb2Be4AlPt3: relaxed, PBE.

The calculation puts the formation energy at -0.767 eV per atom.

It has space group P-4m2 (No. 115), with a = 3.8904 Å, b = 3.8904 Å, c = 10.2650 Å, α = 90.00°, β = 90.00° and γ = 90.00°. The inequivalent atoms are Tb at (0.0000, 0.5000, 0.2456), Be at (0.0000, 0.0000, 0.0000), Be at (0.0000, 0.5000, 0.6426), Be at (0.5000, 0.5000, 0.0000), Al at (0.0000, 0.0000, 0.5000), Pt at (0.0000, 0.5000, 0.8761) and Pt at (0.5000, 0.5000, 0.5000).

---

(5)
TbBe2AlPt5: relaxed, PBE.

The calculation puts the formation energy at -0.736 eV per atom.

It has space group P4/mmm (No. 123), with a = 4.0423 Å, b = 4.0423 Å, c = 9.3132 Å, α = 90.00°, β = 90.00° and γ = 90.00°. The inequivalent atoms are Tb at (0.0000, 0.0000, 0.0000), Be at (0.5000, 0.5000, 0.2330), Al at (0.0000, 0.0000, 0.5000), Pt at (0.0000, 0.5000, 0.3331) and Pt at (0.5000, 0.5000, 0.0000).

---

(6)
Th2BeAlPt6: relaxed, PBE.

The calculation puts the formation energy at -0.986 eV per atom.

It has space group C2/m (No. 12), with a = 11.3228 Å, b = 5.5411 Å, c = 7.8713 Å, α = 90.00°, β = 129.15° and γ = 90.00°. The inequivalent atoms are Th at (0.2442, 0.0000, 0.2059), Be at (0.0000, 0.0000, 0.5000), Al at (0.0000, 0.5000, 0.0000), Pt at (0.0084, 0.2456, 0.7476) and Pt at (0.2449, 0.0000, 0.6132).

---

(7)
ThBe2AlPt4: relaxed, PBE.

The calculation puts the formation energy at -0.908 eV per atom.

It has space group R-3m (No. 166, hexagonal axes), with a = 4.1248 Å, b = 4.1248 Å, c = 26.2284 Å, α = 90.00°, β = 90.00° and γ = 120.00°. The inequivalent atoms are Th at (0.0000, 0.0000, 0.0000), Be at (0.0000, 0.0000, 0.2375), Al at (0.0000, 0.0000, 0.5000), Pt at (0.0000, 0.0000, 0.1327) and Pt at (0.0000, 0.0000, 0.4032).

---

(8)
ThBe2AlPt5: relaxed, PBE.

The calculation puts the formation energy at -0.769 eV per atom.

It has space group P4/mmm (No. 123), with a = 4.0511 Å, b = 4.0511 Å, c = 9.4537 Å, α = 90.00°, β = 90.00° and γ = 90.00°. The inequivalent atoms are Th at (0.0000, 0.0000, 0.0000), Be at (0.5000, 0.5000, 0.2340), Al at (0.0000, 0.0000, 0.5000), Pt at (0.0000, 0.5000, 0.3355) and Pt at (0.5000, 0.5000, 0.0000).

---

(9)
ThBeAlPt2: relaxed, PBE.

The calculation puts the formation energy at -0.930 eV per atom.

It has space group I-4m2 (No. 119), with a = 4.0096 Å, b = 4.0096 Å, c = 11.3736 Å, α = 90.00°, β = 90.00° and γ = 90.00°. The inequivalent atoms are Th at (0.0000, 0.0000, 0.0000), Be at (0.0000, 0.5000, 0.7500), Al at (0.0000, 0.5000, 0.2500) and Pt at (0.0000, 0.0000, 0.3778).

---

(10)
Th2Be4AlPt3: relaxed, PBE.

The calculation puts the formation energy at -0.734 eV per atom.

It has space group P-4m2 (No. 115), with a = 4.0364 Å, b = 4.0364 Å, c = 10.0364 Å, α = 90.00°, β = 90.00° and γ = 90.00°. The inequivalent atoms are Th at (0.0000, 0.5000, 0.2453), Be at (0.0000, 0.0000, 0.0000), Be at (0.0000, 0.5000, 0.6368), Be at (0.5000, 0.5000, 0.0000), Al at (0.0000, 0.0000, 0.5000), Pt at (0.0000, 0.5000, 0.8785) and Pt at (0.5000, 0.5000, 0.5000).

---

(11)
Be2AlTlPt: relaxed, PBE.

The calculation puts the formation energy at 0.027 eV per atom.

It has space group P4/mmm (No. 123), with a = 4.4544 Å, b = 4.4544 Å, c = 4.7902 Å, α = 90.00°, β = 90.00° and γ = 90.00°. The inequivalent atoms are Be at (0.0000, 0.5000, 0.0000), Al at (0.0000, 0.0000, 0.5000), Tl at (0.5000, 0.5000, 0.5000) and Pt at (0.0000, 0.0000, 0.0000).

---

(12)
TmBe2AlPt4: relaxed, PBE.

The calculation puts the formation energy at -0.852 eV per atom.

It has space group R-3m (No. 166, hexagonal axes), with a = 4.1089 Å, b = 4.1089 Å, c = 25.2791 Å, α = 90.00°, β = 90.00° and γ = 120.00°. The inequivalent atoms are Tm at (0.0000, 0.0000, 0.0000), Be at (0.0000, 0.0000, 0.2471), Al at (0.0000, 0.0000, 0.5000), Pt at (0.0000, 0.0000, 0.1302) and Pt at (0.0000, 0.0000, 0.4017).

---

(13)
Tm2BeAlPt6: relaxed, PBE.

The calculation puts the formation energy at -0.951 eV per atom.

It has space group R-3m (No. 166, hexagonal axes), with a = 5.6109 Å, b = 5.6109 Å, c = 19.9448 Å, α = 90.00°, β = 90.00° and γ = 120.00°. The inequivalent atoms are Tm at (0.0000, 0.0000, 0.2076), Be at (0.0000, 0.0000, 0.0000), Al at (0.0000, 0.0000, 0.5000) and Pt at (0.0057, 0.5029, 0.2607).

---

(14)
Tm2BeAl4Pt3: relaxed, PBE.

The calculation puts the formation energy at -0.913 eV per atom.

It has space group P-4m2 (No. 115), with a = 4.0739 Å, b = 4.0739 Å, c = 10.7408 Å, α = 90.00°, β = 90.00° and γ = 90.00°. The inequivalent atoms are Tm at (0.0000, 0.5000, 0.2439), Be at (0.5000, 0.5000, 0.0000), Al at (0.0000, 0.0000, 0.5000), Al at (0.0000, 0.5000, 0.8726), Al at (0.5000, 0.5000, 0.5000), Pt at (0.0000, 0.0000, 0.0000) and Pt at (0.0000, 0.5000, 0.6412).

---

(15)
U2BeAlPt6: relaxed, PBE.

The calculation puts the formation energy at -0.631 eV per atom.

It has space group R-3m (No. 166, hexagonal axes), with a = 5.6272 Å, b = 5.6272 Å, c = 20.1237 Å, α = 90.00°, β = 90.00° and γ = 120.00°. The inequivalent atoms are U at (0.0000, 0.0000, 0.2066), Be at (0.0000, 0.0000, 0.0000), Al at (0.0000, 0.0000, 0.5000) and Pt at (0.0048, 0.5024, 0.2618).

---

(16)
BeAlPt2W: relaxed, PBE.

The calculation puts the formation energy at 1.108 eV per atom.

It has space group P4/mmm (No. 123), with a = 4.8482 Å, b = 4.8482 Å, c = 4.3833 Å, α = 90.00°, β = 90.00° and γ = 90.00°. The inequivalent atoms are Be at (0.0000, 0.0000, 0.0000), Al at (0.5000, 0.5000, 0.0000), Pt at (0.0000, 0.5000, 0.5000) and W at (0.0000, 0.0000, 0.5000).

---

(17)
BeAl2PtW: relaxed, PBE.

The calculation puts the formation energy at 0.507 eV per atom.

It has space group P4/mmm (No. 123), with a = 4.3349 Å, b = 4.3349 Å, c = 3.9851 Å, α = 90.00°, β = 90.00° and γ = 90.00°. The inequivalent atoms are Be at (0.0000, 0.0000, 0.0000), Al at (0.0000, 0.5000, 0.0000), Pt at (0.0000, 0.0000, 0.5000) and W at (0.5000, 0.5000, 0.5000).

---

(18)
YBeAl2Pt4: relaxed, PBE.

The calculation puts the formation energy at -1.037 eV per atom.

It has space group R-3m (No. 166, hexagonal axes), with a = 4.2377 Å, b = 4.2377 Å, c = 25.1880 Å, α = 90.00°, β = 90.00° and γ = 120.00°. The inequivalent atoms are Y at (0.0000, 0.0000, 0.0000), Be at (0.0000, 0.0000, 0.5000), Al at (0.0000, 0.0000, 0.2407), Pt at (0.0000, 0.0000, 0.1365) and Pt at (0.0000, 0.0000, 0.4060).

---

(19)
Y2Be3AlPt4: relaxed, PBE.

The calculation puts the formation energy at -0.975 eV per atom.

It has space group P-4m2 (No. 115), with a = 4.0455 Å, b = 4.0455 Å, c = 9.8817 Å, α = 90.00°, β = 90.00° and γ = 90.00°. The inequivalent atoms are Y at (0.0000, 0.5000, 0.2409), Be at (0.0000, 0.5000, 0.8811), Be at (0.5000, 0.5000, 0.5000), Al at (0.0000, 0.0000, 0.5000), Pt at (0.0000, 0.0000, 0.0000), Pt at (0.0000, 0.5000, 0.6438) and Pt at (0.5000, 0.5000, 0.0000).

---

(20)
Y2BeAlPt6: relaxed, PBE.

The calculation puts the formation energy at -0.941 eV per atom.

It has space group R-3m (No. 166, hexagonal axes), with a = 5.6628 Å, b = 5.6628 Å, c = 19.7912 Å, α = 90.00°, β = 90.00° and γ = 120.00°. The inequivalent atoms are Y at (0.0000, 0.0000, 0.2095), Be at (0.0000, 0.0000, 0.0000), Al at (0.0000, 0.0000, 0.5000) and Pt at (0.0082, 0.5041, 0.2625).

---

(21)
YBeAlPt2: relaxed, PBE.

The calculation puts the formation energy at -0.974 eV per atom.

It has space group I-4m2 (No. 119), with a = 3.8478 Å, b = 3.8478 Å, c = 11.7342 Å, α = 90.00°, β = 90.00° and γ = 90.00°. The inequivalent atoms are Y at (0.0000, 0.0000, 0.0000), Be at (0.0000, 0.5000, 0.7500), Al at (0.0000, 0.5000, 0.2500) and Pt at (0.0000, 0.0000, 0.3808).

---

(22)
Y2Be4AlPt3: relaxed, PBE.

The calculation puts the formation energy at -0.774 eV per atom.

It has space group P-4m2 (No. 115), with a = 3.8887 Å, b = 3.8887 Å, c = 10.2391 Å, α = 90.00°, β = 90.00° and γ = 90.00°. The inequivalent atoms are Y at (0.0000, 0.5000, 0.2457), Be at (0.0000, 0.0000, 0.0000), Be at (0.0000, 0.5000, 0.6436), Be at (0.5000, 0.5000, 0.0000), Al at (0.0000, 0.0000, 0.5000), Pt at (0.0000, 0.5000, 0.8766) and Pt at (0.5000, 0.5000, 0.5000).

---

(23)
Y2BeAl3Pt4: relaxed, PBE.

The calculation puts the formation energy at -1.034 eV per atom.

It has space group P-4m2 (No. 115), with a = 4.1098 Å, b = 4.1098 Å, c = 10.5758 Å, α = 90.00°, β = 90.00° and γ = 90.00°. The inequivalent atoms are Y at (0.0000, 0.5000, 0.2394), Be at (0.5000, 0.5000, 0.0000), Al at (0.0000, 0.0000, 0.0000), Al at (0.0000, 0.5000, 0.6366), Pt at (0.0000, 0.0000, 0.5000), Pt at (0.0000, 0.5000, 0.8710) and Pt at (0.5000, 0.5000, 0.5000).

---

(24)
Zr2Be3AlPt4: relaxed, PBE.

The calculation puts the formation energy at -0.820 eV per atom.

It has space group P-4m2 (No. 115), with a = 3.9438 Å, b = 3.9438 Å, c = 9.7169 Å, α = 90.00°, β = 90.00° and γ = 90.00°. The inequivalent atoms are Zr at (0.0000, 0.5000, 0.2420), Be at (0.0000, 0.5000, 0.8754), Be at (0.5000, 0.5000, 0.5000), Al at (0.0000, 0.0000, 0.5000), Pt at (0.0000, 0.0000, 0.0000), Pt at (0.0000, 0.5000, 0.6469) and Pt at (0.5000, 0.5000, 0.0000).